Record 1
CsSbI2Br | PBE-GGA | relaxed

Results
The uncorrected formation energy comes out at -80.06 kJ/mol of atoms. The theoretical density comes out at 4.35 g/cm³. For the density of states at the Fermi level, the calculation gives 0.1 states/eV/cell.

a = 6.2027 Å, b = 6.2027 Å, c = 5.8388 Å
α = 90.00°, β = 90.00°, γ = 90.00°
Closest atoms and distances in Å follow each position.
Fractional positions:
Cs: 0.0000 0.0000 0.0000  8 I 4.26, 4 Br 4.39
Sb: 0.5000 0.5000 0.5000  2 Br 2.92, 4 I 3.10
I: 0.0000 0.5000 0.5000  2 Sb 3.10
I: 0.5000 0.0000 0.5000  2 Sb 3.10
Br: 0.5000 0.5000 0.0000  2 Sb 2.92

=====

Record 2
Cs2SbI4Br2 | PBE-GGA | relaxed

Results
The uncorrected formation energy comes out at -90.68 kJ/mol of atoms. The theoretical density comes out at 4.31 g/cm³. For the density of states at the Fermi level, the calculation gives 4.0 states/eV/cell.

a = 8.3483 Å, b = 8.3483 Å, c = 8.3483 Å
α = 120.81°, β = 120.81°, γ = 88.60°
Closest atoms and distances in Å follow each position.
Fractional positions:
Cs: 0.2500 0.7500 0.5000  4 Br 4.13, 8 I 4.17
Cs: 0.7500 0.2500 0.5000  4 Br 4.13, 8 I 4.17
Sb: 0.0000 0.0000 0.0000  2 Br 2.75, 4 I 2.95
I: 0.2529 0.2529 0.5057  1 Sb 2.95
I: 0.2529 0.7471 0.0000  1 Sb 2.95
I: 0.7471 0.2529 0.0000  1 Sb 2.95
I: 0.7471 0.7471 0.4943  1 Sb 2.95
Br: 0.2298 0.2298 0.0000  1 Sb 2.75
Br: 0.7702 0.7702 0.0000  1 Sb 2.75

=====

Record 3
CsSb2IBr | PBE-GGA | relaxed

Results
The uncorrected formation energy comes out at 6.16 kJ/mol of atoms. The theoretical density comes out at 3.73 g/cm³. For the density of states at the Fermi level, the calculation gives 4.0 states/eV/cell.

a = 5.6745 Å, b = 5.6745 Å, c = 8.0696 Å
α = 90.00°, β = 90.00°, γ = 90.00°
Closest atoms and distances in Å follow each position.
Fractional positions:
Cs: 0.0000 0.0000 0.0000  4 I 4.01
Sb: 0.0000 0.5000 0.5000  2 Br 2.84
Sb: 0.5000 0.0000 0.5000  2 Br 2.84
I: 0.5000 0.5000 0.0000  4 Cs 4.01, 2 Br 4.03
Br: 0.5000 0.5000 0.5000  4 Sb 2.84

=====

Record 4
CsSbI2Br | PBE-GGA | relaxed

Results
The uncorrected formation energy comes out at -18.98 kJ/mol of atoms. The theoretical density comes out at 3.79 g/cm³. For the density of states at the Fermi level, the calculation gives 6.9 states/eV/cell.

a = 6.8426 Å, b = 6.8426 Å, c = 5.5101 Å
α = 90.00°, β = 90.00°, γ = 90.00°
Closest atoms and distances in Å follow each position.
Fractional positions:
Cs: 0.0000 0.0000 0.0000  8 I 4.39, 4 Sb 4.84
Sb: 0.5000 0.5000 0.0000  2 Br 2.76
I: 0.0000 0.5000 0.5000  2 Br 3.42
I: 0.5000 0.0000 0.5000  2 Br 3.42
Br: 0.5000 0.5000 0.5000  2 Sb 2.76

=====

Record 5
CsSb2IBr | PBE-GGA | relaxed

Results
The uncorrected formation energy comes out at 92.40 kJ/mol of atoms. The theoretical density comes out at 3.40 g/cm³. For the density of states at the Fermi level, the calculation gives 11.6 states/eV/cell.

a = 6.5586 Å, b = 6.5586 Å, c = 6.6299 Å
α = 90.00°, β = 90.00°, γ = 90.00°
Closest atoms and distances in Å follow each position.
Fractional positions:
Cs: 0.0000 0.0000 0.0000  4 Sb 3.28, 2 I 3.31
Sb: 0.0000 0.5000 0.0000  2 Cs 3.28
Sb: 0.5000 0.0000 0.0000  2 Cs 3.28
I: 0.0000 0.0000 0.5000  2 Cs 3.31
Br: 0.5000 0.5000 0.5000  4 I 4.64, 8 Sb 4.66

=====

Record 6
CsScIBr2 | PBE-GGA | relaxed

Results
The uncorrected formation energy comes out at -140.86 kJ/mol of atoms. The theoretical density comes out at 4.25 g/cm³. For the density of states at the Fermi level, the calculation gives 2.3 states/eV/cell.

a = 5.5144 Å, b = 5.5144 Å, c = 5.9742 Å
α = 90.00°, β = 90.00°, γ = 90.00°
Closest atoms and distances in Å follow each position.
Fractional positions:
Cs: 0.0000 0.0000 0.0000  4 I 3.90, 8 Br 4.07
Sc: 0.5000 0.5000 0.5000  4 Br 2.76, 2 I 2.99
I: 0.5000 0.5000 0.0000  2 Sc 2.99
Br: 0.0000 0.5000 0.5000  2 Sc 2.76
Br: 0.5000 0.0000 0.5000  2 Sc 2.76